Record 1
# ScTi4Ru5, relaxed, DFT PBE-GGA
data_ScTi4Ru5
_cell_length_a 3.099
_cell_length_b 3.099
_cell_length_c 15.643
_cell_angle_alpha 90.00
_cell_angle_beta 90.00
_cell_angle_gamma 90.00
_symmetry_space_group_name_H-M 'P 1'
_symmetry_Int_Tables_number 1
loop_
_symmetry_equiv_pos_as_xyz
'x,y,z'
loop_
_atom_site_label
_atom_site_fract_x
_atom_site_fract_y
_atom_site_fract_z
Sc1 0.000 0.000 0.000
Ti1 0.000 0.000 0.202
Ti2 0.000 0.000 0.401
Ti3 0.000 0.000 0.599
Ti4 0.000 0.000 0.798
Ru1 0.500 0.500 0.111
Ru2 0.500 0.500 0.305
Ru3 0.500 0.500 0.500
Ru4 0.500 0.500 0.695
Ru5 0.500 0.500 0.889
# * raw total energy: -9.173 eV per atom



Record 2
# Sc2TiRu2, relaxed, DFT PBE-GGA
data_Sc2TiRu2
_cell_length_a 9.652
_cell_length_b 9.652
_cell_length_c 3.094
_cell_angle_alpha 90.00
_cell_angle_beta 90.00
_cell_angle_gamma 161.41
_symmetry_space_group_name_H-M 'P 1'
_symmetry_Int_Tables_number 1
loop_
_symmetry_equiv_pos_as_xyz
'x,y,z'
loop_
_atom_site_label
_atom_site_fract_x
_atom_site_fract_y
_atom_site_fract_z
Sc1 0.166 0.834 0.000
Sc2 0.834 0.166 0.000
Ti1 0.000 0.000 0.000
Ru1 0.420 0.580 0.500
Ru2 0.580 0.420 0.500
# * polymorph energy (0 for the lowest one): 0.000 eV/atom



Record 3
# ScTi2Ru2, relaxed, DFT PBE-GGA
data_ScTi2Ru2
_cell_length_a 6.257
_cell_length_b 6.257
_cell_length_c 6.257
_cell_angle_alpha 142.45
_cell_angle_beta 142.45
_cell_angle_gamma 54.16
_symmetry_space_group_name_H-M 'P 1'
_symmetry_Int_Tables_number 1
loop_
_symmetry_equiv_pos_as_xyz
'x,y,z'
loop_
_atom_site_label
_atom_site_fract_x
_atom_site_fract_y
_atom_site_fract_z
Sc1 0.000 0.000 0.000
Ti1 0.250 0.750 0.500
Ti2 0.750 0.250 0.500
Ru1 0.386 0.386 0.000
Ru2 0.614 0.614 0.000
# * polymorph energy (0 for the lowest one): 0.071 eV/atom



Record 4
# ScTi2Ru3, relaxed, DFT PBE-GGA
data_ScTi2Ru3
_cell_length_a 3.115
_cell_length_b 3.115
_cell_length_c 9.424
_cell_angle_alpha 90.00
_cell_angle_beta 90.00
_cell_angle_gamma 90.00
_symmetry_space_group_name_H-M 'P 1'
_symmetry_Int_Tables_number 1
loop_
_symmetry_equiv_pos_as_xyz
'x,y,z'
loop_
_atom_site_label
_atom_site_fract_x
_atom_site_fract_y
_atom_site_fract_z
Sc1 0.000 0.000 0.000
Ti1 0.000 0.000 0.335
Ti2 0.000 0.000 0.665
Ru1 0.500 0.500 0.180
Ru2 0.500 0.500 0.500
Ru3 0.500 0.500 0.820
# * raw total energy: -9.047 eV per atom



Record 5
# ScTi2Ru2, relaxed, DFT PBE-GGA
data_ScTi2Ru2
_cell_length_a 8.861
_cell_length_b 8.861
_cell_length_c 3.098
_cell_angle_alpha 90.00
_cell_angle_beta 90.00
_cell_angle_gamma 159.67
_symmetry_space_group_name_H-M 'P 1'
_symmetry_Int_Tables_number 1
loop_
_symmetry_equiv_pos_as_xyz
'x,y,z'
loop_
_atom_site_label
_atom_site_fract_x
_atom_site_fract_y
_atom_site_fract_z
Sc1 0.000 0.000 0.000
Ti1 0.180 0.820 0.000
Ti2 0.820 0.180 0.000
Ru1 0.399 0.601 0.500
Ru2 0.601 0.399 0.500
# * polymorph energy (0 for the lowest one): 0.028 eV/atom



Record 6
# Sc2TiRu4, relaxed, DFT PBE-GGA
data_Sc2TiRu4
_cell_length_a 5.350
_cell_length_b 5.350
_cell_length_c 5.350
_cell_angle_alpha 110.05
_cell_angle_beta 110.05
_cell_angle_gamma 108.32
_symmetry_space_group_name_H-M 'P 1'
_symmetry_Int_Tables_number 1
loop_
_symmetry_equiv_pos_as_xyz
'x,y,z'
loop_
_atom_site_label
_atom_site_fract_x
_atom_site_fract_y
_atom_site_fract_z
Sc1 0.000 0.500 0.500
Sc2 0.500 0.000 0.500
Ti1 0.000 0.000 0.000
Ru1 0.000 0.000 0.500
Ru2 0.000 0.500 0.000
Ru3 0.500 0.000 0.000
Ru4 0.500 0.500 0.500
# * raw total energy: -8.246 eV per atom



Total magnetization in μB per cell, matching the order above: 0.0; 0.0; 0.0; 0.0; 0.9; 0.0